# PBE MgAgAs, relaxed
data_MgAgAs
_cell_length_a 4.117
_cell_length_b 4.119
_cell_length_c 7.440
_cell_angle_alpha 75.44
_cell_angle_beta 75.27
_cell_angle_gamma 89.98
_symmetry_space_group_name_H-M 'P 1'
_symmetry_Int_Tables_number 1
loop_
_symmetry_equiv_pos_as_xyz
'x,y,z'
loop_
_atom_site_label
_atom_site_fract_x
_atom_site_fract_y
_atom_site_fract_z
_atom_site_occupancy
Mg1 0.160 0.158 0.171 1
Mg2 0.840 0.842 0.829 1
Ag1 0.000 0.500 0.500 1
Ag2 0.500 0.000 0.500 1
As1 0.358 0.359 0.784 1
As2 0.642 0.641 0.216 1
# SG: No. 2
# DOS at the Fermi energy: 0.3822 states/eV per atom
# Energy of formation: -0.22 eV/atom

---

# PBE MgAg2As, relaxed
data_MgAg2As
_cell_length_a 5.305
_cell_length_b 5.305
_cell_length_c 5.305
_cell_angle_alpha 134.93
_cell_angle_beta 134.93
_cell_angle_gamma 65.63
_symmetry_space_group_name_H-M 'P 1'
_symmetry_Int_Tables_number 1
loop_
_symmetry_equiv_pos_as_xyz
'x,y,z'
loop_
_atom_site_label
_atom_site_fract_x
_atom_site_fract_y
_atom_site_fract_z
_atom_site_occupancy
Mg1 0.000 0.000 0.000 1
Ag1 0.250 0.750 0.500 1
Ag2 0.750 0.250 0.500 1
As1 0.500 0.500 0.000 1
# SG: No. 139
# DOS at the Fermi energy: 0.4621 states/eV per atom
# Energy of formation: -0.13 eV/atom

---

# PBE MgAgAs, relaxed
data_MgAgAs
_cell_length_a 6.665
_cell_length_b 6.665
_cell_length_c 6.665
_cell_angle_alpha 153.83
_cell_angle_beta 153.83
_cell_angle_gamma 37.35
_symmetry_space_group_name_H-M 'P 1'
_symmetry_Int_Tables_number 1
loop_
_symmetry_equiv_pos_as_xyz
'x,y,z'
loop_
_atom_site_label
_atom_site_fract_x
_atom_site_fract_y
_atom_site_fract_z
_atom_site_occupancy
Mg1 0.000 0.000 0.000 1
Ag1 0.344 0.344 0.000 1
As1 0.662 0.662 0.000 1
# SG: No. 107
# DOS at the Fermi energy: 0.4313 states/eV per atom
# Energy of formation: -0.05 eV/atom

---

# PBE Mg4Ag2As, relaxed
data_Mg4Ag2As
_cell_length_a 7.676
_cell_length_b 7.676
_cell_length_c 7.676
_cell_angle_alpha 141.20
_cell_angle_beta 141.20
_cell_angle_gamma 56.03
_symmetry_space_group_name_H-M 'P 1'
_symmetry_Int_Tables_number 1
loop_
_symmetry_equiv_pos_as_xyz
'x,y,z'
loop_
_atom_site_label
_atom_site_fract_x
_atom_site_fract_y
_atom_site_fract_z
_atom_site_occupancy
Mg1 0.000 0.500 0.500 1
Mg2 0.198 0.198 0.000 1
Mg3 0.500 0.000 0.500 1
Mg4 0.802 0.802 0.000 1
Ag1 0.394 0.394 0.000 1
Ag2 0.606 0.606 0.000 1
As1 0.000 0.000 0.000 1
# SG: No. 139
# DOS at the Fermi energy: 0.3977 states/eV per atom
# Energy of formation: 0.03 eV/atom

---

# PBE Mg3AgAs, relaxed
data_Mg3AgAs
_cell_length_a 5.013
_cell_length_b 5.013
_cell_length_c 5.013
_cell_angle_alpha 90.00
_cell_angle_beta 90.00
_cell_angle_gamma 90.00
_symmetry_space_group_name_H-M 'P 1'
_symmetry_Int_Tables_number 1
loop_
_symmetry_equiv_pos_as_xyz
'x,y,z'
loop_
_atom_site_label
_atom_site_fract_x
_atom_site_fract_y
_atom_site_fract_z
_atom_site_occupancy
Mg1 0.000 0.000 0.500 1
Mg2 0.000 0.500 0.000 1
Mg3 0.500 0.000 0.000 1
Ag1 0.500 0.500 0.500 1
As1 0.000 0.000 0.000 1
# SG: No. 221
# ΔE to the lowest computed polymorph: 0 kJ/mol of formula units
# DOS at the Fermi energy: 0.3768 states/eV per atom
# Energy of formation: 0.07 eV/atom

---

# PBE MgAg2As2, relaxed
data_MgAg2As2
_cell_length_a 6.879
_cell_length_b 6.879
_cell_length_c 4.282
_cell_angle_alpha 90.00
_cell_angle_beta 90.00
_cell_angle_gamma 90.00
_symmetry_space_group_name_H-M 'P 1'
_symmetry_Int_Tables_number 1
loop_
_symmetry_equiv_pos_as_xyz
'x,y,z'
loop_
_atom_site_label
_atom_site_fract_x
_atom_site_fract_y
_atom_site_fract_z
_atom_site_occupancy
Mg1 0.000 0.000 0.000 1
Mg2 0.500 0.500 0.000 1
Ag1 0.179 0.321 0.500 1
Ag2 0.321 0.821 0.500 1
Ag3 0.679 0.179 0.500 1
Ag4 0.821 0.679 0.500 1
As1 0.132 0.632 0.000 1
As2 0.368 0.132 0.000 1
As3 0.632 0.868 0.000 1
As4 0.868 0.368 0.000 1
# SG: No. 127
# ΔE to the lowest computed polymorph: 0 kJ/mol of formula units
# DOS at the Fermi energy: 0.1468 states/eV per atom
# Energy of formation: 0.01 eV/atom

---

# PBE MgAg2As, relaxed
data_MgAg2As
_cell_length_a 3.120
_cell_length_b 3.979
_cell_length_c 5.993
_cell_angle_alpha 90.00
_cell_angle_beta 90.54
_cell_angle_gamma 90.00
_symmetry_space_group_name_H-M 'P 1'
_symmetry_Int_Tables_number 1
loop_
_symmetry_equiv_pos_as_xyz
'x,y,z'
loop_
_atom_site_label
_atom_site_fract_x
_atom_site_fract_y
_atom_site_fract_z
_atom_site_occupancy
Mg1 0.000 0.000 0.000 1
Ag1 0.492 0.500 0.747 1
Ag2 0.986 0.000 0.508 1
As1 0.502 0.500 0.233 1
# SG: No. 6
# DOS at the Fermi energy: 0.2088 states/eV per atom
# Energy of formation: -0.10 eV/atom

---

# PBE MgAgAs, relaxed
data_MgAgAs
_cell_length_a 7.051
_cell_length_b 4.256
_cell_length_c 8.154
_cell_angle_alpha 90.00
_cell_angle_beta 90.00
_cell_angle_gamma 90.00
_symmetry_space_group_name_H-M 'P 1'
_symmetry_Int_Tables_number 1
loop_
_symmetry_equiv_pos_as_xyz
'x,y,z'
loop_
_atom_site_label
_atom_site_fract_x
_atom_site_fract_y
_atom_site_fract_z
_atom_site_occupancy
Mg1 0.154 0.250 0.070 1
Mg2 0.346 0.750 0.570 1
Mg3 0.654 0.250 0.430 1
Mg4 0.846 0.750 0.930 1
Ag1 0.015 0.250 0.630 1
Ag2 0.485 0.750 0.130 1
Ag3 0.515 0.250 0.870 1
Ag4 0.985 0.750 0.370 1
As1 0.226 0.750 0.876 1
As2 0.274 0.250 0.376 1
As3 0.726 0.750 0.624 1
As4 0.774 0.250 0.124 1
# SG: No. 62
# DOS at the Fermi energy: 0.0012 states/eV per atom
# Energy of formation: -0.22 eV/atom

---

The highest energy of formation belongs to which entry?
Mg3AgAs